Record 1
Y2MgFe | PBE | optimized geometry

Cell lengths 3.6622, 4.6301, 6.0516 Å; angles 90.00, 107.53, 90.00 degrees
With the nearest neighbours (Å) after each atom.
Space group Pm (No. 6)
Unique sites:
Y1 0.0000 0.0000 0.0000 (multiplicity 1)  3 Mg 3.08-3.29, 4 Fe 3.10
Y2 0.3028 0.5000 0.6076 (multiplicity 1)  4 Mg 3.12, 3 Fe 3.14-3.22
Mg1 0.7144 0.0000 0.4302 (multiplicity 1)  2 Fe 2.77, 2 Y 3.08-3.09
Fe1 0.5824 0.5000 0.1659 (multiplicity 1)  2 Mg 2.77, 4 Y 3.10

Energy of formation from the pure elements   0.1613 eV/atom
Total magnetization   1.1 μB/cell


Record 2
Y2Mg2Fe | PBE | optimized geometry

Cell lengths 7.0056, 7.0056, 5.0156 Å; angles 90.00, 90.00, 90.00 degrees
With the nearest neighbours (Å) after each atom.
Space group P4/mbm (No. 127)
Unique sites:
Y1 0.1758 0.3242 0.0000 (multiplicity 4)  6 Mg 3.09-3.36
Mg1 0.1423 0.6423 0.5000 (multiplicity 4)  2 Fe 2.70, 1 Mg 2.82
Fe1 0.0000 0.0000 0.5000 (multiplicity 2)  4 Mg 2.70

Energy of formation from the pure elements   0.2800 eV/atom
Total magnetization   4.5 μB/cell